# 1
{
  "formula": "Ga2O3",
  "functional": "PBEsol",
  "state": "relaxed",
  "dos_ef_per_ev_atom": 0.000,
  "space_group": "C2/m, No. 12",
  "lattice_angstrom": [[-1.911, 1.815, -1.534], [-0.125, -3.827, -4.372], [-3.659, -2.696, 4.399]],
  "species": ["Ga", "Ga", "Ga", "Ga", "O", "O", "O", "O", "O", "O"],
  "frac_coords": [[0.659, 0.314, 0.317], [0.341, 0.686, 0.683], [0.090, 0.795, 0.181], [0.910, 0.205, 0.819], [0.496, 0.256, 0.992], [0.504, 0.744, 0.008], [0.173, 0.563, 0.346], [0.827, 0.437, 0.654], [0.835, 0.891, 0.670], [0.165, 0.109, 0.330]]
}

=====

# 2
{
  "formula": "GaPO4",
  "functional": "PBEsol",
  "state": "relaxed",
  "dos_ef_per_ev_atom": 0.000,
  "space_group": "P3_121, No. 152",
  "lattice_angstrom": [[4.920, 0.000, 0.000], [-2.460, 4.261, 0.000], [0.000, 0.000, 11.099]],
  "species": ["Ga", "Ga", "Ga", "P", "P", "P", "O", "O", "O", "O", "O", "O", "O", "O", "O", "O", "O", "O"],
  "frac_coords": [[0.457, 0.000, 0.000], [0.000, 0.457, 0.333], [0.543, 0.543, 0.667], [0.457, 0.000, 0.500], [0.000, 0.457, 0.833], [0.543, 0.543, 0.167], [0.726, 0.134, 0.872], [0.408, 0.274, 0.538], [0.866, 0.592, 0.205], [0.134, 0.726, 0.462], [0.274, 0.408, 0.795], [0.592, 0.866, 0.128], [0.593, 0.911, 0.608], [0.318, 0.407, 0.275], [0.089, 0.682, 0.942], [0.911, 0.593, 0.725], [0.407, 0.318, 0.058], [0.682, 0.089, 0.392]]
}

=====

# 3
{
  "formula": "GaP2O2",
  "functional": "PBEsol",
  "state": "relaxed",
  "dos_ef_per_ev_atom": 0.175,
  "space_group": "P4/mmm, No. 123",
  "lattice_angstrom": [[3.480, 0.000, 0.000], [0.000, 3.480, 0.000], [0.000, 0.000, 4.680]],
  "species": ["P", "P", "O", "O", "Ga"],
  "frac_coords": [[0.000, 0.000, 0.000], [0.000, 0.000, 0.500], [0.000, 0.500, 0.000], [0.500, 0.000, 0.000], [0.500, 0.500, 0.500]]
}

=====

# 4
{
  "formula": "GaPO4",
  "functional": "PBEsol",
  "state": "relaxed",
  "dos_ef_per_ev_atom": 0.000,
  "space_group": "I-4, No. 82",
  "lattice_angstrom": [[-4.883, 0.138, -0.646], [2.199, -4.422, 1.221], [-0.651, -1.817, 4.533]],
  "species": ["P", "Ga", "O", "O", "O", "O"],
  "frac_coords": [[0.250, 0.500, 0.250], [0.000, 0.000, 0.000], [0.144, 0.731, 0.271], [0.587, 0.731, 0.998], [0.998, 0.269, 0.144], [0.271, 0.269, 0.587]]
}

=====

# 5
{
  "formula": "GaPO4",
  "functional": "PBEsol",
  "state": "relaxed",
  "dos_ef_per_ev_atom": 0.000,
  "space_group": "C222_1, No. 20",
  "lattice_angstrom": [[-4.503, -1.738, 1.158], [0.162, -2.994, -3.955], [2.915, -4.967, 3.880]],
  "species": ["Ga", "Ga", "P", "P", "O", "O", "O", "O", "O", "O", "O", "O"],
  "frac_coords": [[0.813, 0.813, 0.000], [0.187, 0.187, 0.500], [0.316, 0.684, 0.250], [0.684, 0.316, 0.750], [0.833, 0.225, 0.567], [0.167, 0.775, 0.067], [0.775, 0.167, 0.933], [0.734, 0.619, 0.784], [0.225, 0.833, 0.433], [0.619, 0.734, 0.216], [0.381, 0.266, 0.716], [0.266, 0.381, 0.284]]
}

=====

# 6
{
  "formula": "RbGa2P5O16",
  "functional": "PBEsol",
  "state": "relaxed",
  "dos_ef_per_ev_atom": 0.000,
  "space_group": "Pc, No. 7",
  "lattice_angstrom": [[7.419, 0.000, 0.003], [0.000, 9.241, 0.000], [-3.591, 0.000, 9.482]],
  "species": ["Rb", "Rb", "Ga", "Ga", "Ga", "Ga", "P", "P", "P", "P", "P", "P", "P", "P", "P", "P", "O", "O", "O", "O", "O", "O", "O", "O", "O", "O", "O", "O", "O", "O", "O", "O", "O", "O", "O", "O", "O", "O", "O", "O", "O", "O", "O", "O", "O", "O", "O", "O"],
  "frac_coords": [[0.248, 0.205, 0.217], [0.748, 0.795, 0.717], [0.212, 0.632, 0.127], [0.164, 0.861, 0.520], [0.712, 0.368, 0.627], [0.664, 0.139, 0.020], [0.860, 0.416, 0.960], [0.360, 0.584, 0.460], [0.015, 0.136, 0.618], [0.426, 0.126, 0.690], [0.926, 0.874, 0.190], [0.306, 0.706, 0.861], [0.515, 0.864, 0.118], [0.000, 0.543, 0.501], [0.806, 0.294, 0.361], [0.500, 0.457, 0.001], [0.387, 0.545, 0.857], [0.720, 0.495, 0.032], [0.267, 0.770, 0.719], [0.350, 0.747, 0.479], [0.467, 0.297, 0.972], [0.554, 0.062, 0.830], [0.445, 0.522, 0.117], [0.493, 0.785, 0.971], [0.364, 0.011, 0.575], [0.379, 0.803, 0.183], [0.767, 0.230, 0.219], [0.061, 0.466, 0.045], [0.967, 0.703, 0.472], [0.499, 0.262, 0.643], [0.650, 0.294, 0.423], [0.993, 0.975, 0.590], [0.783, 0.464, 0.807], [0.054, 0.938, 0.330], [0.879, 0.197, 0.683], [0.850, 0.253, 0.979], [0.864, 0.989, 0.075], [0.887, 0.455, 0.357], [0.227, 0.177, 0.713], [0.561, 0.534, 0.545], [0.945, 0.478, 0.617], [0.150, 0.706, 0.923], [0.999, 0.738, 0.143], [0.283, 0.536, 0.307], [0.493, 0.025, 0.090], [0.220, 0.505, 0.532], [0.727, 0.823, 0.213], [0.993, 0.215, 0.471]]
}

=====

# 7
{
  "formula": "GaReP2O",
  "functional": "PBEsol",
  "state": "relaxed",
  "dos_ef_per_ev_atom": 0.608,
  "space_group": "P4/mmm, No. 123",
  "lattice_angstrom": [[3.696, 0.000, 0.000], [0.000, 4.749, 0.000], [0.000, 0.000, 4.749]],
  "species": ["Re", "O", "Ga", "P", "P"],
  "frac_coords": [[0.000, 0.000, 0.000], [0.500, 0.000, 0.000], [0.500, 0.500, 0.500], [0.000, 0.000, 0.500], [0.000, 0.500, 0.000]]
}

=====

# 8
{
  "formula": "GaP2SO",
  "functional": "PBEsol",
  "state": "relaxed",
  "dos_ef_per_ev_atom": 0.848,
  "space_group": "P4/mmm, No. 123",
  "lattice_angstrom": [[4.563, 0.000, 0.000], [0.000, 4.626, 0.000], [0.000, 0.000, 4.626]],
  "species": ["P", "P", "S", "O", "Ga"],
  "frac_coords": [[0.000, 0.000, 0.500], [0.000, 0.500, 0.000], [0.500, 0.000, 0.000], [0.500, 0.500, 0.500], [0.000, 0.000, 0.000]]
}

=====

# 9
{
  "formula": "GaSbPO2",
  "functional": "PBEsol",
  "state": "relaxed",
  "dos_ef_per_ev_atom": 0.730,
  "space_group": "P4/mmm, No. 123",
  "lattice_angstrom": [[3.830, 0.000, 0.000], [0.000, 3.830, 0.000], [0.000, 0.000, 4.849]],
  "species": ["Sb", "O", "O", "Ga", "P"],
  "frac_coords": [[0.500, 0.500, 0.500], [0.000, 0.500, 0.000], [0.500, 0.000, 0.000], [0.000, 0.000, 0.000], [0.000, 0.000, 0.500]]
}

=====

# 10
{
  "formula": "ScGaPO2",
  "functional": "PBEsol",
  "state": "relaxed",
  "dos_ef_per_ev_atom": 0.631,
  "space_group": "P4/mmm, No. 123",
  "lattice_angstrom": [[3.902, 0.000, 0.000], [0.000, 3.902, 0.000], [0.000, 0.000, 5.464]],
  "species": ["Sc", "P", "O", "O", "Ga"],
  "frac_coords": [[0.000, 0.000, 0.000], [0.000, 0.000, 0.500], [0.000, 0.500, 0.000], [0.500, 0.000, 0.000], [0.500, 0.500, 0.500]]
}

=====

# 11
{
  "formula": "GaPSeO2",
  "functional": "PBEsol",
  "state": "relaxed",
  "dos_ef_per_ev_atom": 0.571,
  "space_group": "P4/mmm, No. 123",
  "lattice_angstrom": [[3.610, 0.000, 0.000], [0.000, 3.610, 0.000], [0.000, 0.000, 6.353]],
  "species": ["O", "O", "P", "Ga", "Se"],
  "frac_coords": [[0.000, 0.500, 0.000], [0.500, 0.000, 0.000], [0.000, 0.000, 0.500], [0.000, 0.000, 0.000], [0.500, 0.500, 0.500]]
}

=====

# 12
{
  "formula": "SrGaPO2",
  "functional": "PBEsol",
  "state": "relaxed",
  "dos_ef_per_ev_atom": 1.135,
  "space_group": "P4/mmm, No. 123",
  "lattice_angstrom": [[4.399, 0.000, 0.000], [0.000, 4.399, 0.000], [0.000, 0.000, 6.001]],
  "species": ["Sr", "O", "O", "Ga", "P"],
  "frac_coords": [[0.000, 0.000, 0.000], [0.000, 0.500, 0.000], [0.500, 0.000, 0.000], [0.500, 0.500, 0.500], [0.000, 0.000, 0.500]]
}

=====

| no. | calculated total energy (eV/atom) | formation energy without anion corrections (meV/atom) |
| --- | --- | --- |
| 1 | -6.39 | -1904 |
| 2 | -7.15 | -2130 |
| 3 | -5.76 | -672 |
| 4 | -7.15 | -2132 |
| 5 | -7.15 | -2129 |
| 6 | -7.20 | -2176 |
| 7 | -6.80 | -101 |
| 8 | -3.59 | 1317 |
| 9 | -5.21 | -374 |
| 10 | -6.25 | -1006 |
| 11 | -4.89 | -191 |
| 12 | -4.14 | 159 |